Entry 1:
Li4Cd2AgSn | PBE-GGA | optimized geometry

abc: 4.626 4.626 6.652
angles: 90.00 90.00 90.00
Fractional coordinates of all 8 atoms:
Sn1 0.500 0.500 0.500
Li1 0.500 0.500 0.000
Li2 0.000 0.500 0.764
Ag1 0.000 0.000 0.000
Li3 0.500 0.000 0.236
Cd1 0.500 0.000 0.761
Li4 0.000 0.000 0.500
Cd2 0.000 0.500 0.239

## Properties
E_tot = -0.1714 Ry/atom
space group = P-4m2, No. 115

Entry 2:
LaErBe | PBE-GGA | optimized geometry

abc: 4.884 4.884 4.884
angles: 60.00 60.00 60.00
Fractional coordinates of all 3 atoms:
La1 0.000 0.000 0.000
Er1 0.750 0.750 0.750
Be1 0.250 0.250 0.250

## Properties
E_tot = -0.2564 Ry/atom
space group = F-43m, No. 216
polymorph energy (0 for the lowest one) = 0.438 eV per atom

Entry 3:
ScHgO3 | PBE-GGA | optimized geometry

abc: 5.591 5.591 5.867
angles: 61.55 61.55 60.00
Site moments in Bohr magnetons follow the coordinates.
Fractional coordinates of all 10 atoms:
O1 0.044 0.451 0.729  0.25
O2 0.451 0.777 0.729  0.24
Sc1 0.149 0.149 0.554  -0.01
Hg1 0.362 0.362 0.915  0.14
Sc2 0.851 0.851 0.446  -0.01
O3 0.956 0.549 0.271  0.25
O4 0.549 0.223 0.271  0.24
Hg2 0.638 0.638 0.085  0.14
O5 0.223 0.956 0.271  0.25
O6 0.777 0.044 0.729  0.25

## Properties
E_tot = -0.4352 Ry/atom
space group = R-3, No. 148

Entry 4:
MgZrCuSi | PBE-GGA | optimized geometry

abc: 4.550 4.550 4.550
angles: 60.00 60.00 60.00
Fractional coordinates of all 4 atoms:
Cu1 0.750 0.750 0.750
Zr1 0.500 0.500 0.500
Mg1 0.250 0.250 0.250
Si1 0.000 0.000 0.000

## Properties
E_tot = -0.3388 Ry/atom
space group = F-43m, No. 216
polymorph energy (0 for the lowest one) = 0.154 eV per atom

Entry 5:
GdAlGaAu2 | PBE-GGA | optimized geometry

abc: 4.337 4.337 10.694
angles: 90.00 90.00 90.00
Fractional coordinates of all 10 atoms:
Gd1 0.000 0.500 0.754
Ga1 0.000 0.500 0.138
Ga2 0.500 0.000 0.862
Au1 0.000 0.500 0.371
Au2 0.500 0.500 0.000
Gd2 0.500 0.000 0.246
Au3 0.500 0.000 0.629
Al1 0.500 0.500 0.500
Al2 0.000 0.000 0.500
Au4 0.000 0.000 0.000

## Properties
E_tot = -0.3140 Ry/atom
space group = P4/nmm, No. 129
polymorph energy (0 for the lowest one) = 0.000 eV per atom

Entry 6:
RbScPt | PBE-GGA | optimized geometry

abc: 4.837 4.837 4.837
angles: 60.00 60.00 60.00
Fractional coordinates of all 3 atoms:
Sc1 0.750 0.750 0.750
Rb1 0.000 0.000 0.000
Pt1 0.250 0.250 0.250

## Properties
E_tot = -0.2521 Ry/atom
space group = F-43m, No. 216
polymorph energy (0 for the lowest one) = 0.832 eV per atom

Entry 7:
Pr3Cd3Pt2Au | PBE-GGA | optimized geometry

abc: 7.792 7.792 4.080
angles: 90.00 90.00 120.00
Fractional coordinates of all 9 atoms:
Cd1 0.000 0.256 0.000
Cd2 0.256 0.000 0.000
Pt1 0.667 0.333 0.000
Pr1 0.588 0.000 0.500
Pt2 0.333 0.667 0.000
Pr2 0.412 0.412 0.500
Pr3 0.000 0.588 0.500
Au1 0.000 0.000 0.500
Cd3 0.744 0.744 0.000

## Properties
E_tot = -0.3223 Ry/atom
space group = P-62m, No. 189
E_form = -0.786 eV per atom

Entry 8:
TmNbPb2O6 | PBE-GGA | optimized geometry

abc: 5.144 5.278 5.626
angles: 96.14 92.18 104.05
Fractional coordinates of all 10 atoms:
O1 0.260 0.236 0.748
Pb1 0.714 0.285 0.533
Tm1 0.000 0.000 0.000
O2 0.697 0.700 0.738
Nb1 0.500 0.500 0.000
O3 0.740 0.764 0.252
O4 0.750 0.271 0.971
O5 0.250 0.729 0.029
O6 0.303 0.300 0.262
Pb2 0.286 0.715 0.467

## Properties
E_tot = -0.5335 Ry/atom
space group = P-1, No. 2
polymorph energy (0 for the lowest one) = 0.190 eV per atom